[1]
Computed, not measured: TbInRh at its PBEsol-relaxed geometry at the meta-GGA SCAN level of DFT.

Calculated values
DFT formation energy   -0.87 eV per atom

```
data_TbInRh
_space_group_name_H-M_alt 'P -6 2 m'
_space_group_IT_number 189
_space_group_name_Hall 'P -6 -2'
_cell_length_a 7.3994
_cell_length_b 7.3994
_cell_length_c 3.8937
_cell_angle_alpha 90.00
_cell_angle_beta 90.00
_cell_angle_gamma 120.00
loop_
_atom_site_label
_atom_site_type_symbol
_atom_site_fract_x
_atom_site_fract_y
_atom_site_fract_z
_atom_site_occupancy
Tb1 Tb 0.0000 0.5926 0.0000 1
In1 In 0.0000 0.2559 0.5000 1
Rh1 Rh 0.0000 0.0000 0.0000 1
Rh2 Rh 0.3333 0.6667 0.5000 1
```

***

[2]
Computed, not measured: LiCr2Os at its PBEsol-relaxed geometry at the meta-GGA SCAN level of DFT.

Calculated values
DFT formation energy   0.35 eV per atom

```
data_LiCr2Os
_space_group_name_H-M_alt 'P m m 2'
_space_group_IT_number 25
_cell_length_a 2.560
_cell_length_b 3.795
_cell_length_c 4.957
_cell_angle_alpha 90.00
_cell_angle_beta 90.00
_cell_angle_gamma 90.00
loop_
_space_group_symop_operation_xyz
'x,y,z'
'-x,-y,z'
'-x,y,z'
'x,-y,z'
loop_
_atom_site_label
_atom_site_type_symbol
_atom_site_fract_x
_atom_site_fract_y
_atom_site_fract_z
_atom_site_occupancy
Li1 Li 0.000 0.000 0.000 1
Cr1 Cr 0.000 0.000 0.500 1
Cr2 Cr 0.500 0.500 0.761 1
Os1 Os 0.500 0.500 0.257 1
```

***

[3]
Computed, not measured: Ga3CoIr at its PBEsol-relaxed geometry at the meta-GGA SCAN level of DFT.

Calculated values
DFT formation energy   0.35 eV per atom

```
data_Ga3CoIr
_space_group_name_H-M_alt 'P m -3 m'
_space_group_IT_number 221
_space_group_name_Hall '-P 4 2 3'
_cell_length_a 4.693
_cell_length_b 4.693
_cell_length_c 4.693
_cell_angle_alpha 90.00
_cell_angle_beta 90.00
_cell_angle_gamma 90.00
loop_
_atom_site_label
_atom_site_type_symbol
_atom_site_fract_x
_atom_site_fract_y
_atom_site_fract_z
_atom_site_occupancy
Ga1 Ga 0.000 0.000 0.500 1
Co1 Co 0.500 0.500 0.500 1
Ir1 Ir 0.000 0.000 0.000 1
```

***

[4]
Computed, not measured: LiCaW2 at its PBEsol-relaxed geometry at the meta-GGA SCAN level of DFT.

Calculated values
DFT formation energy   0.56 eV per atom

```
data_LiCaW2
_space_group_name_H-M_alt 'P 4 m m'
_space_group_IT_number 99
_cell_length_a 3.286
_cell_length_b 3.286
_cell_length_c 7.345
_cell_angle_alpha 90.00
_cell_angle_beta 90.00
_cell_angle_gamma 90.00
loop_
_space_group_symop_operation_xyz
'x,y,z'
'-y,x,z'
'-x,-y,z'
'y,-x,z'
'-x,y,z'
'y,x,z'
'x,-y,z'
'-y,-x,z'
loop_
_atom_site_label
_atom_site_type_symbol
_atom_site_fract_x
_atom_site_fract_y
_atom_site_fract_z
_atom_site_occupancy
Li1 Li 0.000 0.000 0.000 1
Ca1 Ca 0.500 0.500 0.681 1
W1 W 0.000 0.000 0.382 1
W2 W 0.500 0.500 0.226 1
```

***

[5]
Computed, not measured: Ba3InRu2O9 at its PBEsol-relaxed geometry at the meta-GGA SCAN level of DFT.

Calculated values
Energy relative to the elements, uncorrected   -2.1222 eV per atom

```
data_Ba3InRu2O9
_space_group_name_H-M_alt 'P 63/m m c'
_space_group_IT_number 194
_space_group_name_Hall '-P 6c 2c'
_cell_length_a 5.8104
_cell_length_b 5.8104
_cell_length_c 14.2194
_cell_angle_alpha 90.00
_cell_angle_beta 90.00
_cell_angle_gamma 120.00
loop_
_atom_site_label
_atom_site_type_symbol
_atom_site_fract_x
_atom_site_fract_y
_atom_site_fract_z
_atom_site_occupancy
Ba1 Ba 0.0000 0.0000 0.2500 1
Ba2 Ba 0.3333 0.6667 0.0890 1
In1 In 0.0000 0.0000 0.0000 1
Ru1 Ru 0.3333 0.6667 0.6636 1
O1 O 0.0203 0.5101 0.7500 1
O2 O 0.1738 0.3476 0.5859 1
```

***

[6]
Computed, not measured: Zn2Ag at its PBEsol-relaxed geometry at the meta-GGA SCAN level of DFT.

Calculated values
DFT formation energy   0.05 eV per atom

```
data_Zn2Ag
_space_group_name_H-M_alt 'I m m a'
_space_group_IT_number 74
_space_group_name_Hall '-I 2b 2'
_cell_length_a 2.737
_cell_length_b 4.065
_cell_length_c 17.294
_cell_angle_alpha 90.00
_cell_angle_beta 90.00
_cell_angle_gamma 90.00
loop_
_atom_site_label
_atom_site_type_symbol
_atom_site_fract_x
_atom_site_fract_y
_atom_site_fract_z
_atom_site_occupancy
Zn1 Zn 0.000 0.250 0.041 1
Zn2 Zn 0.000 0.250 0.189 1
Ag1 Ag 0.000 0.250 0.609 1
```

***

[7]
Computed, not measured: BaTl2Cl at its PBEsol-relaxed geometry at the meta-GGA SCAN level of DFT.

Calculated values
Energy relative to the elements, uncorrected   -1.0153 eV per atom
E above lowest polymorph   0 meV/atom

```
data_BaTl2Cl
_space_group_name_H-M_alt 'F m m m'
_space_group_IT_number 69
_space_group_name_Hall '-F 2 2'
_cell_length_a 6.090
_cell_length_b 6.347
_cell_length_c 13.510
_cell_angle_alpha 90.00
_cell_angle_beta 90.00
_cell_angle_gamma 90.00
loop_
_atom_site_label
_atom_site_type_symbol
_atom_site_fract_x
_atom_site_fract_y
_atom_site_fract_z
_atom_site_occupancy
Ba1 Ba 0.000 0.000 0.000 1
Tl1 Tl 0.000 0.250 0.250 1
Cl1 Cl 0.000 0.000 0.500 1
```

***

[8]
Computed, not measured: CaCr2Br2 at its PBEsol-relaxed geometry at the meta-GGA SCAN level of DFT.

Calculated values
Energy relative to the elements, uncorrected   0.1109 eV per atom

```
data_CaCr2Br2
_space_group_name_H-M_alt 'I 4/m m m'
_space_group_IT_number 139
_space_group_name_Hall '-I 4 2'
_cell_length_a 4.669
_cell_length_b 4.669
_cell_length_c 9.690
_cell_angle_alpha 90.00
_cell_angle_beta 90.00
_cell_angle_gamma 90.00
loop_
_atom_site_label
_atom_site_type_symbol
_atom_site_fract_x
_atom_site_fract_y
_atom_site_fract_z
_atom_site_occupancy
Ca1 Ca 0.000 0.000 0.000 1
Cr1 Cr 0.000 0.000 0.408 1
Br1 Br 0.000 0.500 0.250 1
```

***

[9]
Computed, not measured: K2CdHg at its PBEsol-relaxed geometry at the meta-GGA SCAN level of DFT.

Calculated values
DFT formation energy   -0.21 eV per atom

```
data_K2CdHg
_space_group_name_H-M_alt 'A m m 2'
_space_group_IT_number 38
_cell_length_a 5.025
_cell_length_b 4.775
_cell_length_c 12.577
_cell_angle_alpha 90.00
_cell_angle_beta 90.00
_cell_angle_gamma 90.00
loop_
_space_group_symop_operation_xyz
'x,y,z'
'-x,-y,z'
'-x,y,z'
'x,-y,z'
'x,y+1/2,z+1/2'
'-x,-y+1/2,z+1/2'
'-x,y+1/2,z+1/2'
'x,-y+1/2,z+1/2'
loop_
_atom_site_label
_atom_site_type_symbol
_atom_site_fract_x
_atom_site_fract_y
_atom_site_fract_z
_atom_site_occupancy
K1 K 0.000 0.000 0.000 1
K2 K 0.500 0.000 0.301 1
Cd1 Cd 0.500 0.000 0.595 1
Hg1 Hg 0.000 0.000 0.708 1
```

***

[10]
Computed, not measured: BiPtSeS2 at its PBEsol-relaxed geometry at the meta-GGA SCAN level of DFT.

Calculated values
Energy relative to the elements, uncorrected   1.0305 eV per atom

```
data_BiPtSeS2
_space_group_name_H-M_alt 'P 4/m m m'
_space_group_IT_number 123
_space_group_name_Hall '-P 4 2'
_cell_length_a 4.547
_cell_length_b 4.547
_cell_length_c 5.592
_cell_angle_alpha 90.00
_cell_angle_beta 90.00
_cell_angle_gamma 90.00
loop_
_atom_site_label
_atom_site_type_symbol
_atom_site_fract_x
_atom_site_fract_y
_atom_site_fract_z
_atom_site_occupancy
Bi1 Bi 0.000 0.000 0.000 1
Pt1 Pt 0.500 0.500 0.000 1
Se1 Se 0.000 0.000 0.500 1
S1 S 0.000 0.500 0.500 1
```

***

[11]
Computed, not measured: LiZn2Au at its PBEsol-relaxed geometry at the meta-GGA SCAN level of DFT.

Calculated values
DFT formation energy   -0.38 eV per atom
E above lowest polymorph   69 meV/atom

```
data_LiZn2Au
_space_group_name_H-M_alt 'F -4 3 m'
_space_group_IT_number 216
_space_group_name_Hall 'F -4 2 3'
_cell_length_a 6.098
_cell_length_b 6.098
_cell_length_c 6.098
_cell_angle_alpha 90.00
_cell_angle_beta 90.00
_cell_angle_gamma 90.00
loop_
_atom_site_label
_atom_site_type_symbol
_atom_site_fract_x
_atom_site_fract_y
_atom_site_fract_z
_atom_site_occupancy
Li1 Li 0.000 0.000 0.000 1
Zn1 Zn 0.000 0.000 0.500 1
Zn2 Zn 0.250 0.250 0.750 1
Au1 Au 0.250 0.250 0.250 1
```

***

[12]
Computed, not measured: Re2SiS at its PBEsol-relaxed geometry at the meta-GGA SCAN level of DFT.

Calculated values
Energy relative to the elements, uncorrected   0.7443 eV per atom
E above lowest polymorph   456 meV/atom

```
data_Re2SiS
_space_group_name_H-M_alt 'I -4 2 d'
_space_group_IT_number 122
_space_group_name_Hall 'I -4 2bw'
_cell_length_a 5.489
_cell_length_b 5.489
_cell_length_c 9.726
_cell_angle_alpha 90.00
_cell_angle_beta 90.00
_cell_angle_gamma 90.00
loop_
_atom_site_label
_atom_site_type_symbol
_atom_site_fract_x
_atom_site_fract_y
_atom_site_fract_z
_atom_site_occupancy
Re1 Re 0.230 0.250 0.125 1
Si1 Si 0.000 0.000 0.500 1
S1 S 0.000 0.000 0.000 1
```

***

Number 1: volume 61.5 Å³/f.u.. Number 2: volume 48.2 Å³/f.u.. Number 3: volume 103.4 Å³/f.u.. Number 4: volume 79.3 Å³/f.u.. Number 5: volume 207.9 Å³/f.u.. Number 6: volume 48.1 Å³/f.u.. Number 7: volume 130.5 Å³/f.u.. Number 8: volume 105.6 Å³/f.u.. Number 9: volume 150.9 Å³/f.u.. Number 10: volume 115.6 Å³/f.u.. Number 11: volume 56.7 Å³/f.u.. Number 12: volume 73.3 Å³/f.u..